Compound: TlInNi2H
Source: the Alexandria database
Functional: PBE-GGA
Structure: optimized geometry

a b c (Å): 4.127 4.098 4.127
angles (deg): 90.00 90.00 90.00
Atoms (fractional coordinates):
Ni1 0.000 0.000 0.500
Ni2 0.500 0.000 0.000
H1 0.000 0.000 0.000
Tl1 0.500 0.500 0.500
In1 0.000 0.500 0.000

Space group: No. 123
DFT total energy (eV/cell): -18.106
Magnetization (μB/cell): 0.00